# Pm2PrUO8 | Alexandria via LeMat-Bulk | GGA-PBE | optimized geometry
data_Pm2PrUO8
_chemical_formula_sum 'Pm2 Pr1 U1 O8'
_space_group_name_H-M_alt 'P 1'
_space_group_IT_number 1
_cell_length_a 3.9713
_cell_length_b 5.5035
_cell_length_c 7.7353
_cell_angle_alpha 90.00
_cell_angle_beta 90.00
_cell_angle_gamma 90.03
loop_
_space_group_symop_operation_xyz
'x,y,z'
loop_
_atom_site_label
_atom_site_fract_x
_atom_site_fract_y
_atom_site_fract_z
_atom_site_occupancy
Pm1 0.5000 0.5000 0.7562 1
Pm2 0.5000 0.5000 0.2438 1
Pr1 0.0000 0.0000 0.5000 1
U1 0.0000 0.0000 0.0000 1
O1 0.0003 0.7621 0.2188 1
O2 0.5004 0.7764 0.0000 1
O3 0.9997 0.2379 0.2188 1
O4 0.9997 0.2379 0.7812 1
O5 0.4996 0.2236 0.0000 1
O6 0.0003 0.7621 0.7812 1
O7 0.5000 0.7423 0.5000 1
O8 0.5000 0.2577 0.5000 1
# Raw total energy in hartree per atom: -0.317
# Mass density in g cm⁻³: 7.8

---

# CaLa3Ru | Alexandria via LeMat-Bulk | GGA-PBE | optimized geometry
data_CaLa3Ru
_chemical_formula_sum 'Ca2 La6 Ru2'
_space_group_name_H-M_alt 'P 1'
_space_group_IT_number 1
_cell_length_a 7.8340
_cell_length_b 7.7197
_cell_length_c 7.8335
_cell_angle_alpha 105.83
_cell_angle_beta 61.37
_cell_angle_gamma 74.16
loop_
_space_group_symop_operation_xyz
'x,y,z'
loop_
_atom_site_label
_atom_site_fract_x
_atom_site_fract_y
_atom_site_fract_z
_atom_site_occupancy
Ru1 0.5090 0.8304 0.6728 1
Ru2 0.7656 0.3552 0.4161 1
Ca1 0.3167 0.5929 0.2241 1
Ca2 0.7329 0.0928 0.6401 1
La1 0.8144 0.5928 0.7217 1
La2 0.2340 0.0905 0.6439 1
La3 0.3051 0.5890 0.7206 1
La4 0.8135 0.5967 0.2123 1
La5 0.2340 0.0928 0.1412 1
La6 0.7368 0.0952 0.1410 1
# Mass density in g cm⁻³: 5.3
# ΔH_f (0 K) in meV per atom: -157

---

no.,calculated volume (Å³/f.u.)
1,169.1
2,175.7